Record 1
Density functional theory data (PBE) for an optimized crystal structure of MgNiPdAu.

abc: 4.412 4.412 4.412
angles: 60.00 60.00 60.00
Positions (direct):
Au1 0.750 0.750 0.750
Pd1 0.250 0.250 0.250
Ni1 0.500 0.500 0.500
Mg1 0.000 0.000 0.000

Results
**Fermi-level density of states**: 0.8205 states/eV per atom
**ΔE_f**: -1.288 eV/f.u.
**E**: -17.13 eV/f.u.

=====

Record 2
Density functional theory data (PBE) for an optimized crystal structure of PrMgNiAu.

abc: 4.907 4.907 4.907
angles: 60.00 60.00 60.00
Positions (direct):
Au1 0.500 0.500 0.500
Mg1 0.250 0.250 0.250
Ni1 0.000 0.000 0.000
Pr1 0.750 0.750 0.750

Results
**Fermi-level density of states**: 0.8147 states/eV per atom
**ΔE_f**: -1.564 eV/f.u.
**E**: -17.00 eV/f.u.

=====

Record 3
Density functional theory data (PBE) for an optimized crystal structure of MgNiRh2Au.

abc: 4.928 4.611 4.928
angles: 90.00 90.00 90.00
Site moments in Bohr magnetons follow the coordinates.
Positions (direct):
Ni1 0.000 0.500 0.000  0.71
Mg1 0.500 0.500 0.500  0.00
Rh1 0.500 0.000 0.000  0.26
Rh2 0.000 0.000 0.500  0.50
Au1 0.000 0.000 0.000  0.13

Results
**Fermi-level density of states**: 2.8066 states/eV per atom
**ΔE_f**: 5.871 eV/f.u.
**E**: -19.49 eV/f.u.

=====

Record 4
Density functional theory data (PBE) for an optimized crystal structure of MgScNiAu.

abc: 4.586 4.586 4.586
angles: 60.00 60.00 60.00
Positions (direct):
Mg1 0.000 0.000 0.000
Au1 0.750 0.750 0.750
Ni1 0.250 0.250 0.250
Sc1 0.500 0.500 0.500

Results
**Fermi-level density of states**: 0.5485 states/eV per atom
**ΔE_f**: -2.089 eV/f.u.
**E**: -19.07 eV/f.u.